[1]
Density functional theory data (PBE) for a geometry-optimized Sc2SiTcSe structure.

Computed properties:
- Formation energy from raw total energies: 2.62 eV/f.u.
- E_tot: -29.321 eV for the cell shown

POSCAR file:
```
Sc2SiTcSe
1.0
4.874 0.000 0.000
0.000 4.723 0.000
0.000 0.000 4.874
Sc Si Se Tc
2 1 1 1
Direct
0.500 0.000 0.000 Sc
0.000 0.000 0.500 Sc
0.000 0.500 0.000 Si
0.000 0.000 0.000 Se
0.500 0.500 0.500 Tc
```



[2]
Density functional theory data (PBE) for a geometry-optimized CeSc2CrN4 structure.

Computed properties:
- Formation energy from raw total energies: -11.00 eV/f.u.
- E_tot: -145.040 eV for the cell shown

POSCAR file:
```
CeSc2CrN4
1.0
3.251 0.000 0.000
-1.626 5.552 0.000
0.000 0.000 10.976
N Ce Sc Cr
8 2 4 2
Direct
0.264 0.528 0.379 N
0.736 0.472 0.621 N
0.000 0.000 0.500 N
0.430 0.860 0.750 N
0.264 0.528 0.121 N
0.570 0.140 0.250 N
0.000 0.000 0.000 N
0.736 0.472 0.879 N
0.902 0.805 0.250 Ce
0.098 0.195 0.750 Ce
0.370 0.741 0.542 Sc
0.630 0.259 0.042 Sc
0.370 0.741 0.958 Sc
0.630 0.259 0.458 Sc
0.163 0.326 0.250 Cr
0.837 0.674 0.750 Cr
```



Calculated total magnetization (μB/f.u.), listed in the same order as above: 1.5 1.5